1.
A plane-wave DFT calculation with PBE was carried out for a geometry-optimized Na2ScTlO4 structure.

a = 3.279 Å, b = 5.739 Å, c = 5.898 Å
α = 109.42°, β = 90.00°, γ = 90.00°
Atoms (fractional coordinates):
Na 0.500 0.000 0.500
Na 0.000 0.500 0.500
Sc 0.000 0.000 0.000
Tl 0.500 0.500 0.000
O 0.500 0.216 0.210
O 0.500 0.784 0.790
O 0.000 0.243 0.781
O 0.000 0.757 0.219

ΔE_f (raw) ... -15.4 eV/f.u.
Total magnetization ... 0.00 μB per cell

2.
A plane-wave DFT calculation with PBE was carried out for a geometry-optimized Na2ScTl2O6 structure.

a = 5.740 Å, b = 5.740 Å, c = 6.026 Å
α = 100.60°, β = 100.60°, γ = 118.18°
Atoms (fractional coordinates):
Na 0.828 0.172 0.000
Na 0.172 0.828 0.000
Sc 0.000 0.000 0.500
Tl 0.335 0.665 0.500
Tl 0.665 0.335 0.500
O 0.759 0.759 0.697
O 0.052 0.379 0.713
O 0.241 0.241 0.303
O 0.379 0.052 0.713
O 0.948 0.621 0.287
O 0.621 0.948 0.287

ΔE_f (raw) ... -15.8 eV/f.u.
Total magnetization ... 1.05 μB per cell
DOS(E_F) ... 4.193 states/eV/f.u.